Entry 1:
MgMnVOs | PBE-GGA | optimized geometry

It has space group F-43m (No. 216), with a = 6.077 Å, b = 6.077 Å, c = 6.077 Å, α = 90.00°, β = 90.00° and γ = 90.00°. Symmetry generates all atoms from Mg at (0.000, 0.000, 0.000), Mn at (0.250, 0.250, 0.250), V at (0.000, 0.000, 0.500) and Os at (0.250, 0.250, 0.750).

The formation energy is 0.0290 eV per atom. For the density of states at the Fermi level, the calculation gives 0.69 states/eV per atom. The value obtained for the calculated volume is 56 Å³/f.u.

Entry 2:
MgMn5P3 | PBE-GGA | optimized geometry

It has space group Cmcm (No. 63), with a = 3.836 Å, b = 12.355 Å, c = 10.048 Å, α = 90.00°, β = 90.00° and γ = 90.00°. Symmetry generates all atoms from Mg at (0.000, 0.226, 0.250), Mn at (0.000, 0.000, 0.000), Mn at (0.000, 0.192, 0.552), Mn at (0.000, 0.455, 0.138), P at (0.000, 0.099, 0.750) and P at (0.000, 0.373, 0.565).

The formation energy is -0.3707 eV per atom. For the density of states at the Fermi level, the calculation gives 0.57 states/eV per atom. The value obtained for the calculated volume is 119 Å³/f.u.

Entry 3:
MgMnP | PBE-GGA | optimized geometry

It has space group I4mm (No. 107), with a = 2.975 Å, b = 2.975 Å, c = 9.245 Å, α = 90.00°, β = 90.00° and γ = 90.00°. Symmetry generates all atoms from Mg at (0.000, 0.000, 0.000), Mn at (0.000, 0.000, 0.298) and P at (0.000, 0.000, 0.701).

The formation energy is -0.3009 eV per atom. For the density of states at the Fermi level, the calculation gives 0.16 states/eV per atom. The value obtained for the calculated volume is 41 Å³/f.u.